Here is a relaxed GaFePtO6 crystal from the Alexandria database. Energies are from PBE+U.

V in Å³/cell: 194
Density of states at the Fermi level in states/eV/f.u.: 5.61
Final energy in eV per atom: -5.89

Unit cell a=5.099 b=5.099 c=8.612 alpha=90.00 beta=90.00 gamma=120.00
Fractional positions:
1 Ga 0.333 0.667 0.250
2 Ga 0.667 0.333 0.750
3 Fe 0.000 0.000 0.000
4 Fe 0.000 0.000 0.500
5 Pt 0.667 0.333 0.250
6 Pt 0.333 0.667 0.750
7 O 0.658 0.657 0.127
8 O 0.999 0.342 0.127
9 O 0.342 0.999 0.627
10 O 0.001 0.658 0.873
11 O 0.343 0.342 0.373
12 O 0.999 0.657 0.373
13 O 0.657 0.999 0.873
14 O 0.658 0.001 0.373
15 O 0.001 0.343 0.627
16 O 0.343 0.001 0.127
17 O 0.657 0.658 0.627
18 O 0.342 0.343 0.873